First-principles (GGA-PBE) data for crystalline ZrOsCl3 at its relaxed geometry, as listed in the Alexandria database.

a b c (Å): 5.0672 5.0672 5.0672
angles (deg): 90.00 90.00 90.00
Closest atoms and distances in Å follow each position.
Fractional positions:
Zr 0.0000 0.0000 0.0000  6 Cl 2.53
Cl 0.0000 0.5000 0.0000  2 Zr 2.53
Os 0.5000 0.5000 0.5000  12 Cl 3.58
Cl 0.0000 0.0000 0.5000  2 Zr 2.53
Cl 0.5000 0.0000 0.0000  2 Zr 2.53

Values from the calculation:
distance to the lowest polymorph of the same formula	0.0	kJ/mol of atoms

---

First-principles (GGA-PBE) data for crystalline CaY2PuP4 at its relaxed geometry, as listed in the Alexandria database.

a b c (Å): 4.0401 6.9528 6.9659
angles (deg): 109.15 90.00 90.00
Closest atoms and distances in Å follow each position.
Fractional positions:
Pu 0.0000 0.0000 0.0000  6 P 2.78-2.82
Ca 0.5000 0.5000 0.0000  6 P 2.87-2.89
Y 0.0000 0.5000 0.5000  6 P 2.89
P 0.5000 0.7586 0.7525  3 Y 2.80-2.89, 2 Pu 2.82, 1 Ca 2.87
P 0.0000 0.2385 0.7486  1 Pu 2.78, 3 Y 2.82-2.89, 2 Ca 2.89
P 0.0000 0.7615 0.2514  1 Pu 2.78, 3 Y 2.82-2.89, 2 Ca 2.89
P 0.5000 0.2414 0.2475  3 Y 2.80-2.89, 2 Pu 2.82, 1 Ca 2.87
Y 0.5000 0.0000 0.5000  6 P 2.80-2.82

Values from the calculation:
formation enthalpy at 0 K	-1.3228	eV/atom

---

First-principles (GGA-PBE) data for crystalline Dy2AlGa4Ni3 at its relaxed geometry, as listed in the Alexandria database.

a b c (Å): 4.0234 4.0234 10.4530
angles (deg): 90.00 90.00 90.00
Closest atoms and distances in Å follow each position.
Fractional positions:
Ga 0.0000 0.5000 0.3534  3 Ni 2.34-2.53, 2 Al 2.53
Ni 0.5000 0.0000 0.8706  5 Ga 2.34-2.42
Ni 0.0000 0.0000 0.5000  4 Ga 2.53
Dy 0.0000 0.5000 0.7613  6 Ni 3.07-3.39, 8 Ga 3.09-3.21, 2 Al 3.39
Ga 0.0000 0.0000 0.0000  4 Ni 2.42
Dy 0.5000 0.0000 0.2387  6 Ni 3.07-3.39, 8 Ga 3.09-3.21, 2 Al 3.39
Ni 0.0000 0.5000 0.1294  5 Ga 2.34-2.42
Al 0.5000 0.5000 0.5000  4 Ga 2.53
Ga 0.5000 0.5000 0.0000  4 Ni 2.42
Ga 0.5000 0.0000 0.6466  3 Ni 2.34-2.53, 2 Al 2.53

Values from the calculation:
formation enthalpy at 0 K	-0.5801	eV/atom

---

First-principles (GGA-PBE) data for crystalline Y2MgSb at its relaxed geometry, as listed in the Alexandria database.

a b c (Å): 5.0479 5.0479 4.1596
angles (deg): 89.99 89.99 90.01
Closest atoms and distances in Å follow each position.
Fractional positions:
Y 0.0000 0.0000 0.0000  4 Mg 3.27, 4 Sb 3.27, 4 Y 3.57
Y 0.5000 0.5000 0.0000  4 Sb 3.27, 4 Mg 3.27, 4 Y 3.57
Mg 0.5000 0.0000 0.5000  8 Y 3.27, 4 Sb 3.57
Sb 0.0000 0.5000 0.5000  8 Y 3.27, 4 Mg 3.57

Values from the calculation:
distance to the lowest polymorph of the same formula	8.3	kJ/mol of atoms

---

First-principles (GGA-PBE) data for crystalline HfFeW3 at its relaxed geometry, as listed in the Alexandria database.

a b c (Å): 4.7345 4.7345 4.7345
angles (deg): 90.00 90.00 90.00
Closest atoms and distances in Å follow each position.
Fractional positions:
W 0.0000 0.5000 0.0000  2 Hf 2.37
W 0.0000 0.0000 0.5000  2 Hf 2.37
Hf 0.0000 0.0000 0.0000  6 W 2.37
W 0.5000 0.0000 0.0000  2 Hf 2.37
Fe 0.5000 0.5000 0.5000  12 W 3.35

Values from the calculation:
formation enthalpy at 0 K	2.9652	eV/atom
distance to the lowest polymorph of the same formula	188.6	kJ/mol of atoms

---

First-principles (GGA-PBE) data for crystalline Y2Cu3Ge4Pt at its relaxed geometry, as listed in the Alexandria database.

a b c (Å): 4.1593 4.1593 10.1873
angles (deg): 90.00 90.00 90.00
Closest atoms and distances in Å follow each position.
Fractional positions:
Ge 0.5000 0.5000 0.0000  4 Cu 2.47
Pt 0.5000 0.5000 0.5000  4 Ge 2.51
Ge 0.0000 0.0000 0.0000  4 Cu 2.47
Cu 0.0000 0.0000 0.5000  4 Ge 2.51
Y 0.5000 0.0000 0.2507  8 Ge 3.15-3.29, 6 Cu 3.18-3.28, 2 Pt 3.28
Cu 0.0000 0.5000 0.1314  5 Ge 2.35-2.47
Ge 0.5000 0.0000 0.6377  3 Cu 2.35-2.51, 2 Pt 2.51
Y 0.0000 0.5000 0.7493  8 Ge 3.15-3.29, 6 Cu 3.18-3.28, 2 Pt 3.28
Ge 0.0000 0.5000 0.3623  3 Cu 2.35-2.51, 2 Pt 2.51
Cu 0.5000 0.0000 0.8686  5 Ge 2.35-2.47

Values from the calculation:
formation enthalpy at 0 K	-0.5672	eV/atom

---

First-principles (GGA-PBE) data for crystalline LaNd2DyY2 at its relaxed geometry, as listed in the Alexandria database.

a b c (Å): 3.4300 6.6920 17.9558
angles (deg): 90.00 90.00 90.00
Closest atoms and distances in Å follow each position.
Fractional positions:
Y 0.0000 0.2262 0.1817  4 Nd 3.37-3.48, 2 Y 3.43, 1 La 3.60
Nd 0.0000 0.7217 0.1497  1 La 3.27, 4 Y 3.37-3.48, 2 Nd 3.43, 2 Dy 3.52
Y 0.5000 0.2738 0.6817  4 Nd 3.37-3.48, 2 Y 3.43, 1 La 3.60
Nd 0.5000 0.7783 0.6497  1 La 3.27, 4 Y 3.37-3.48, 2 Nd 3.43, 2 Dy 3.52
Nd 0.0000 0.2783 0.8503  1 La 3.27, 4 Y 3.37-3.48, 2 Nd 3.43, 2 Dy 3.52
Y 0.0000 0.7738 0.8183  4 Nd 3.37-3.48, 2 Y 3.43, 1 La 3.60
Dy 0.0000 0.0000 0.5000  2 Dy 3.43, 4 Nd 3.52, 4 La 3.76
Dy 0.5000 0.5000 0.0000  2 Dy 3.43, 4 Nd 3.52, 4 La 3.76
Y 0.5000 0.7262 0.3183  4 Nd 3.37-3.48, 2 Y 3.43, 1 La 3.60
La 0.5000 0.5000 0.5000  2 Nd 3.27, 2 La 3.43, 2 Y 3.60
Nd 0.5000 0.2217 0.3503  1 La 3.27, 4 Y 3.37-3.48, 2 Nd 3.43, 2 Dy 3.52
La 0.0000 0.0000 0.0000  2 Nd 3.27, 2 La 3.43, 2 Y 3.60

Values from the calculation:
formation enthalpy at 0 K	0.2465	eV/atom

---

First-principles (GGA-PBE) data for crystalline PmEuMg2 at its relaxed geometry, as listed in the Alexandria database.

a b c (Å): 3.9426 3.9426 7.8471
angles (deg): 90.00 90.00 90.00
Closest atoms and distances in Å follow each position.
Fractional positions:
Mg 0.0000 0.0000 0.2350  4 Pm 3.34, 4 Eu 3.48, 1 Mg 3.69
Eu 0.5000 0.5000 0.5000  8 Mg 3.48
Pm 0.5000 0.5000 0.0000  8 Mg 3.34
Mg 0.0000 0.0000 0.7650  4 Pm 3.34, 4 Eu 3.48, 1 Mg 3.69

Values from the calculation:
formation enthalpy at 0 K	-0.0901	eV/atom

---

| no. | energy (eV per atom) | density (g/cm3) |
| --- | --- | --- |
| 1 | -4.688 | 4.949 |
| 2 | -7.685 | 5.263 |
| 3 | -4.820 | 7.919 |
| 4 | -5.170 | 5.074 |
| 5 | -8.490 | 12.296 |
| 6 | -5.540 | 8.047 |
| 7 | -5.086 | 6.186 |
| 8 | -4.644 | 4.705 |